[1]
# PBEsol CoMo2PtSe, relaxed
# ρ: 8.5 g/cm3
# energy relative to the elements, uncorrected: 1.66 eV/atom
# SG: No. 123
# total moment: 4.3 μB per cell
# total DFT energy (no corrections): -6.756 eV/atom
data_CoMo2PtSe
_symmetry_space_group_name_H-M 'P 1'
_symmetry_Int_Tables_number 1
_cell_length_a 4.502
_cell_length_b 4.763
_cell_length_c 4.763
_cell_angle_alpha 90.00
_cell_angle_beta 90.00
_cell_angle_gamma 90.00
loop_
_symmetry_equiv_pos_as_xyz
'x,y,z'
loop_
_atom_site_label
_atom_site_type_symbol
_atom_site_fract_x
_atom_site_fract_y
_atom_site_fract_z
Mo1 Mo 0.000 0.500 0.000
Mo2 Mo 0.000 0.000 0.500
Co1 Co 0.500 0.000 0.000
Se1 Se 0.500 0.500 0.500
Pt1 Pt 0.000 0.000 0.000

***

[2]
# PBEsol CoTc2MoPt, relaxed
# ΔE_f: 229.0 kJ per mole of atoms
# ρ: 9.1 g/cm3
# SG: No. 123
# total moment: 2.1 μB per cell
# total DFT energy (no corrections): -7.426 eV/atom
data_CoTc2MoPt
_symmetry_space_group_name_H-M 'P 1'
_symmetry_Int_Tables_number 1
_cell_length_a 4.628
_cell_length_b 4.628
_cell_length_c 4.660
_cell_angle_alpha 90.00
_cell_angle_beta 90.00
_cell_angle_gamma 90.00
loop_
_symmetry_equiv_pos_as_xyz
'x,y,z'
loop_
_atom_site_label
_atom_site_type_symbol
_atom_site_fract_x
_atom_site_fract_y
_atom_site_fract_z
Tc1 Tc 0.000 0.500 0.000
Tc2 Tc 0.500 0.000 0.000
Pt1 Pt 0.000 0.000 0.000
Co1 Co 0.500 0.500 0.500
Mo1 Mo 0.000 0.000 0.500

***

[3]
# PBEsol CoReMo2, relaxed
# ΔE_f: 16.2 kJ per mole of atoms
# ρ: 13.0 g/cm3
# SG: No. 99
# total moment: 0.4 μB per cell
# total DFT energy (no corrections): -10.983 eV/atom
data_CoReMo2
_symmetry_space_group_name_H-M 'P 1'
_symmetry_Int_Tables_number 1
_cell_length_a 3.128
_cell_length_b 3.128
_cell_length_c 5.692
_cell_angle_alpha 90.00
_cell_angle_beta 90.00
_cell_angle_gamma 90.00
loop_
_symmetry_equiv_pos_as_xyz
'x,y,z'
loop_
_atom_site_label
_atom_site_type_symbol
_atom_site_fract_x
_atom_site_fract_y
_atom_site_fract_z
Mo1 Mo 0.000 0.000 0.968
Mo2 Mo 0.500 0.500 0.256
Co1 Co 0.500 0.500 0.770
Re1 Re 0.000 0.000 0.507

***

[4]
# PBEsol CoRe2Mo2S8, relaxed
# ρ: 6.8 g/cm3
# energy relative to the elements, uncorrected: -0.67 eV/atom
# SG: No. 44
# total moment: 3.0 μB per cell
# total DFT energy (no corrections): -7.826 eV/atom
data_CoRe2Mo2S8
_symmetry_space_group_name_H-M 'P 1'
_symmetry_Int_Tables_number 1
_cell_length_a 6.694
_cell_length_b 6.722
_cell_length_c 6.722
_cell_angle_alpha 60.23
_cell_angle_beta 60.14
_cell_angle_gamma 60.14
loop_
_symmetry_equiv_pos_as_xyz
'x,y,z'
loop_
_atom_site_label
_atom_site_type_symbol
_atom_site_fract_x
_atom_site_fract_y
_atom_site_fract_z
S1 S 0.132 0.139 0.596
S2 S 0.638 0.634 0.091
S3 S 0.639 0.635 0.635
S4 S 0.129 0.136 0.136
S5 S 0.599 0.136 0.136
S6 S 0.132 0.596 0.139
S7 S 0.090 0.635 0.635
S8 S 0.638 0.091 0.634
Co1 Co 0.000 0.000 0.000
Mo1 Mo 0.397 0.809 0.396
Mo2 Mo 0.397 0.396 0.809
Re1 Re 0.397 0.395 0.395
Re2 Re 0.813 0.395 0.395

***

[5]
# PBEsol Co3MoRh, relaxed
# ΔE_f: 173.2 kJ per mole of atoms
# ρ: 7.6 g/cm3
# SG: No. 221
# total moment: 8.3 μB per cell
# total DFT energy (no corrections): -6.829 eV/atom
data_Co3MoRh
_symmetry_space_group_name_H-M 'P 1'
_symmetry_Int_Tables_number 1
_cell_length_a 4.337
_cell_length_b 4.337
_cell_length_c 4.337
_cell_angle_alpha 90.00
_cell_angle_beta 90.00
_cell_angle_gamma 90.00
loop_
_symmetry_equiv_pos_as_xyz
'x,y,z'
loop_
_atom_site_label
_atom_site_type_symbol
_atom_site_fract_x
_atom_site_fract_y
_atom_site_fract_z
Rh1 Rh 0.000 0.000 0.000
Co1 Co 0.000 0.500 0.000
Co2 Co 0.000 0.000 0.500
Co3 Co 0.500 0.000 0.000
Mo1 Mo 0.500 0.500 0.500

***

[6]
# PBEsol Co4MoRh, relaxed
# ΔE_f: 0.2 kJ per mole of atoms
# ρ: 10.5 g/cm3
# SG: No. 216
# total moment: 4.3 μB per cell
# total DFT energy (no corrections): -8.474 eV/atom
data_Co4MoRh
_symmetry_space_group_name_H-M 'P 1'
_symmetry_Int_Tables_number 1
_cell_length_a 4.601
_cell_length_b 4.601
_cell_length_c 4.601
_cell_angle_alpha 60.00
_cell_angle_beta 60.00
_cell_angle_gamma 60.00
loop_
_symmetry_equiv_pos_as_xyz
'x,y,z'
loop_
_atom_site_label
_atom_site_type_symbol
_atom_site_fract_x
_atom_site_fract_y
_atom_site_fract_z
Co1 Co 0.375 0.876 0.375
Co2 Co 0.375 0.375 0.876
Co3 Co 0.876 0.375 0.375
Co4 Co 0.375 0.375 0.375
Mo1 Mo 0.750 0.750 0.750
Rh1 Rh 0.000 0.000 0.000

***

[7]
# PBEsol CoMo2Rh, relaxed
# ΔE_f: -7.4 kJ per mole of atoms
# ρ: 11.0 g/cm3
# SG: No. 25
# total moment: 0.0 μB per cell
# distance to the lowest polymorph of the same formula: 5 meV per atom
# total DFT energy (no corrections): -9.929 eV/atom
data_CoMo2Rh
_symmetry_space_group_name_H-M 'P 1'
_symmetry_Int_Tables_number 1
_cell_length_a 2.669
_cell_length_b 4.296
_cell_length_c 4.674
_cell_angle_alpha 90.00
_cell_angle_beta 90.00
_cell_angle_gamma 90.00
loop_
_symmetry_equiv_pos_as_xyz
'x,y,z'
loop_
_atom_site_label
_atom_site_type_symbol
_atom_site_fract_x
_atom_site_fract_y
_atom_site_fract_z
Rh1 Rh 0.500 0.000 0.541
Co1 Co 0.500 0.500 0.198
Mo1 Mo 0.000 0.500 0.706
Mo2 Mo 0.000 0.000 0.055

***

[8]
# PBEsol CoMo3Rh, relaxed
# ΔE_f: 117.6 kJ per mole of atoms
# ρ: 9.2 g/cm3
# SG: No. 221
# total moment: 0.0 μB per cell
# total DFT energy (no corrections): -9.017 eV/atom
data_CoMo3Rh
_symmetry_space_group_name_H-M 'P 1'
_symmetry_Int_Tables_number 1
_cell_length_a 4.336
_cell_length_b 4.336
_cell_length_c 4.336
_cell_angle_alpha 90.00
_cell_angle_beta 90.00
_cell_angle_gamma 90.00
loop_
_symmetry_equiv_pos_as_xyz
'x,y,z'
loop_
_atom_site_label
_atom_site_type_symbol
_atom_site_fract_x
_atom_site_fract_y
_atom_site_fract_z
Mo1 Mo 0.000 0.500 0.000
Mo2 Mo 0.000 0.000 0.500
Mo3 Mo 0.500 0.000 0.000
Rh1 Rh 0.500 0.500 0.500
Co1 Co 0.000 0.000 0.000